Entry from Alexandria via LeMat-Bulk: a geometry-optimized Ir6C7 structure (PBE).

Output
The value obtained for the total moment is 0.0 μB/f.u. The value obtained for the density of states at the Fermi level is 9.84 states/eV/f.u. For the formation energy, the calculation gives 1.611 eV per atom.

Cell lengths 9.927, 9.927, 9.927 Å; angles 24.07, 24.07, 24.07 degrees
Atoms (fractional coordinates):
C 0.545 0.170 0.545
C 0.170 0.545 0.545
Ir 0.054 0.054 0.054
Ir 0.306 0.306 0.306
Ir 0.196 0.196 0.196
C 0.455 0.830 0.455
Ir 0.694 0.694 0.694
Ir 0.946 0.946 0.946
Ir 0.804 0.804 0.804
C 0.545 0.545 0.170
C 0.830 0.455 0.455
C 0.455 0.455 0.830
C 0.500 0.500 0.500